# 1
Crystalline AcPr6Nd2Y at its relaxed geometry, computed with PBE.

Unit cell a=9.998 b=9.186 c=9.186 alpha=118.20 beta=93.49 gamma=93.49
Fractional positions:
Ac (0.250, 0.977, 0.023)
Ac (0.750, 0.023, 0.977)
Pr (0.053, 0.125, 0.748)
Pr (0.447, 0.252, 0.875)
Pr (0.947, 0.875, 0.252)
Pr (0.553, 0.748, 0.125)
Pr (0.314, 0.985, 0.438)
Pr (0.186, 0.562, 0.015)
Pr (0.686, 0.015, 0.562)
Pr (0.814, 0.438, 0.985)
Pr (0.118, 0.707, 0.498)
Pr (0.382, 0.502, 0.293)
Pr (0.882, 0.293, 0.502)
Pr (0.618, 0.498, 0.707)
Nd (0.456, 0.801, 0.691)
Nd (0.044, 0.309, 0.199)
Nd (0.544, 0.199, 0.309)
Nd (0.956, 0.691, 0.801)
Y (0.250, 0.410, 0.590)
Y (0.750, 0.590, 0.410)

## Properties
crystal system: monoclinic
calculated density: 6521 kg/m³
E_form: 108 meV per atom

=====

# 2
Crystalline AcPrNd2Y5 at its relaxed geometry, computed with PBE.

Unit cell a=8.908 b=8.908 c=10.128 alpha=116.09 beta=116.09 gamma=90.00
Fractional positions:
Ac (0.250, 0.750, 0.500)
Ac (0.750, 0.250, 0.500)
Pr (0.250, 0.250, 0.500)
Pr (0.750, 0.750, 0.500)
Nd (0.115, 0.385, 0.000)
Nd (0.615, 0.115, 0.000)
Nd (0.385, 0.885, 0.000)
Nd (0.885, 0.615, 0.000)
Y (0.920, 0.420, 0.264)
Y (0.657, 0.157, 0.736)
Y (0.080, 0.580, 0.736)
Y (0.157, 0.080, 0.736)
Y (0.580, 0.657, 0.736)
Y (0.843, 0.920, 0.264)
Y (0.420, 0.343, 0.264)
Y (0.343, 0.843, 0.264)
Y (0.500, 0.500, 0.000)
Y (0.000, 0.000, 0.000)

## Properties
crystal system: tetragonal
calculated density: 5810 kg/m³
E_form: 244 meV per atom

=====

# 3
Crystalline Ac3PrNd2Y6 at its relaxed geometry, computed with PBE.

Unit cell a=6.468 b=6.468 c=12.030 alpha=95.14 beta=95.14 gamma=119.99
Fractional positions:
Ac (0.167, 0.833, 0.500)
Ac (0.833, 0.167, 0.500)
Ac (0.500, 0.500, 0.500)
Pr (0.000, 0.000, 0.000)
Nd (0.333, 0.667, 0.000)
Nd (0.667, 0.333, 0.000)
Y (0.919, 0.585, 0.756)
Y (0.748, 0.748, 0.244)
Y (0.081, 0.415, 0.244)
Y (0.585, 0.919, 0.756)
Y (0.252, 0.252, 0.756)
Y (0.415, 0.081, 0.244)

## Properties
crystal system: monoclinic
calculated density: 6365 kg/m³
E_form: 31 meV per atom

=====

# 4
Crystalline Ac2PrNdY at its relaxed geometry, computed with PBE.

Unit cell a=6.913 b=9.045 c=6.420 alpha=90.07 beta=90.00 gamma=90.00
Fractional positions:
Ac (0.698, 0.699, 0.751)
Ac (0.698, 0.301, 0.749)
Ac (0.302, 0.699, 0.251)
Ac (0.302, 0.301, 0.249)
Pr (0.000, 0.000, 0.000)
Pr (0.000, 0.000, 0.500)
Nd (0.580, 0.000, 0.250)
Nd (0.420, 0.000, 0.750)
Y (0.162, 0.500, 0.750)
Y (0.838, 0.500, 0.250)

## Properties
crystal system: monoclinic
calculated density: 6851 kg/m³
E_form: 267 meV per atom

=====

# 5
Crystalline AcPr2Nd5Y at its relaxed geometry, computed with PBE.

Unit cell a=9.078 b=9.078 c=10.263 alpha=116.25 beta=116.25 gamma=90.00
Fractional positions:
Ac (0.250, 0.250, 0.500)
Ac (0.750, 0.750, 0.500)
Pr (0.117, 0.383, 0.000)
Pr (0.617, 0.117, 0.000)
Pr (0.383, 0.883, 0.000)
Pr (0.883, 0.617, 0.000)
Nd (0.927, 0.427, 0.269)
Nd (0.659, 0.159, 0.731)
Nd (0.073, 0.573, 0.731)
Nd (0.159, 0.073, 0.731)
Nd (0.573, 0.659, 0.731)
Nd (0.841, 0.927, 0.269)
Nd (0.427, 0.341, 0.269)
Nd (0.341, 0.841, 0.269)
Nd (0.500, 0.500, 0.000)
Nd (0.000, 0.000, 0.000)
Y (0.250, 0.750, 0.500)
Y (0.750, 0.250, 0.500)

## Properties
crystal system: tetragonal
calculated density: 6639 kg/m³
E_form: 249 meV per atom

=====

# 6
Crystalline Ac6Pr2NdY3 at its relaxed geometry, computed with PBE.

Unit cell a=6.665 b=6.665 c=12.364 alpha=95.16 beta=95.16 gamma=120.05
Fractional positions:
Ac (0.915, 0.582, 0.746)
Ac (0.752, 0.752, 0.254)
Ac (0.085, 0.418, 0.254)
Ac (0.582, 0.915, 0.746)
Ac (0.248, 0.248, 0.746)
Ac (0.418, 0.085, 0.254)
Pr (0.333, 0.667, 0.000)
Pr (0.667, 0.333, 0.000)
Nd (0.000, 0.000, 0.000)
Y (0.167, 0.833, 0.500)
Y (0.833, 0.167, 0.500)
Y (0.500, 0.500, 0.500)

## Properties
crystal system: monoclinic
calculated density: 7295 kg/m³
E_form: 28 meV per atom

=====

# 7
Crystalline AcPrNd6Y2 at its relaxed geometry, computed with PBE.

Unit cell a=9.822 b=9.085 c=9.085 alpha=116.27 beta=92.92 gamma=92.92
Fractional positions:
Ac (0.250, 0.962, 0.038)
Ac (0.750, 0.038, 0.962)
Pr (0.250, 0.408, 0.592)
Pr (0.750, 0.592, 0.408)
Nd (0.058, 0.109, 0.755)
Nd (0.442, 0.245, 0.891)
Nd (0.942, 0.891, 0.245)
Nd (0.558, 0.755, 0.109)
Nd (0.322, 0.990, 0.450)
Nd (0.178, 0.550, 0.010)
Nd (0.678, 0.010, 0.550)
Nd (0.822, 0.450, 0.990)
Nd (0.118, 0.706, 0.480)
Nd (0.382, 0.520, 0.294)
Nd (0.882, 0.294, 0.520)
Nd (0.618, 0.480, 0.706)
Y (0.449, 0.797, 0.696)
Y (0.051, 0.304, 0.203)
Y (0.551, 0.203, 0.304)
Y (0.949, 0.696, 0.797)

## Properties
crystal system: monoclinic
calculated density: 6476 kg/m³
E_form: 117 meV per atom

=====

# 8
Crystalline AcPr2NdY6 at its relaxed geometry, computed with PBE.

Unit cell a=9.706 b=9.711 c=7.507 alpha=90.00 beta=90.02 gamma=90.00
Fractional positions:
Ac (0.000, 0.500, 0.000)
Ac (0.500, 0.000, 0.500)
Pr (0.826, 0.825, 0.249)
Pr (0.674, 0.325, 0.251)
Pr (0.326, 0.675, 0.749)
Pr (0.174, 0.175, 0.751)
Nd (0.000, 0.500, 0.500)
Nd (0.500, 0.000, 0.000)
Y (0.674, 0.327, 0.750)
Y (0.874, 0.119, 0.000)
Y (0.881, 0.126, 0.501)
Y (0.619, 0.626, 0.999)
Y (0.626, 0.619, 0.500)
Y (0.826, 0.827, 0.750)
Y (0.174, 0.173, 0.250)
Y (0.374, 0.381, 0.500)
Y (0.381, 0.374, 0.001)
Y (0.126, 0.881, 0.000)
Y (0.119, 0.874, 0.499)
Y (0.326, 0.673, 0.250)

## Properties
crystal system: monoclinic
calculated density: 5569 kg/m³
E_form: 92 meV per atom

=====

# 9
Crystalline AcPr6Nd2Y3 at its relaxed geometry, computed with PBE.

Unit cell a=6.422 b=6.422 c=12.205 alpha=95.03 beta=95.03 gamma=120.03
Fractional positions:
Ac (0.000, 0.000, 0.000)
Pr (0.915, 0.579, 0.744)
Pr (0.750, 0.750, 0.256)
Pr (0.085, 0.421, 0.256)
Pr (0.579, 0.915, 0.744)
Pr (0.250, 0.250, 0.744)
Pr (0.421, 0.085, 0.256)
Nd (0.333, 0.667, 0.000)
Nd (0.667, 0.333, 0.000)
Y (0.167, 0.833, 0.500)
Y (0.833, 0.167, 0.500)
Y (0.500, 0.500, 0.500)

## Properties
crystal system: monoclinic
calculated density: 6300 kg/m³
E_form: 20 meV per atom

=====

# 10
Crystalline AcPrNd2Y at its relaxed geometry, computed with PBE.

Unit cell a=6.002 b=6.546 c=9.989 alpha=70.74 beta=90.00 gamma=90.00
Fractional positions:
Ac (0.750, 0.566, 0.198)
Ac (0.250, 0.434, 0.802)
Pr (0.750, 0.357, 0.600)
Pr (0.250, 0.643, 0.400)
Nd (0.750, 0.771, 0.800)
Nd (0.250, 0.229, 0.200)
Nd (0.250, 0.039, 0.597)
Nd (0.750, 0.961, 0.403)
Y (0.250, 0.840, 0.998)
Y (0.750, 0.160, 0.002)

## Properties
crystal system: monoclinic
calculated density: 6681 kg/m³
E_form: 39 meV per atom

=====

# 11
Crystalline Ac2PrNd5Y at its relaxed geometry, computed with PBE.

Unit cell a=5.886 b=10.833 c=11.100 alpha=90.00 beta=90.00 gamma=105.76
Fractional positions:
Ac (0.880, 0.761, 0.823)
Ac (0.111, 0.222, 0.733)
Ac (0.120, 0.239, 0.323)
Ac (0.889, 0.778, 0.233)
Pr (0.791, 0.582, 0.506)
Pr (0.209, 0.418, 0.006)
Nd (0.398, 0.796, 0.026)
Nd (0.716, 0.432, 0.803)
Nd (0.479, 0.958, 0.744)
Nd (0.295, 0.590, 0.698)
Nd (0.980, 0.960, 0.527)
Nd (0.602, 0.204, 0.526)
Nd (0.284, 0.568, 0.303)
Nd (0.521, 0.042, 0.244)
Nd (0.705, 0.410, 0.198)
Nd (0.020, 0.040, 0.027)
Y (0.590, 0.181, 0.965)
Y (0.410, 0.819, 0.465)

## Properties
crystal system: orthorhombic
calculated density: 6851 kg/m³
E_form: 131 meV per atom

=====

# 12
Crystalline Ac2Pr4NdY2 at its relaxed geometry, computed with PBE.

Unit cell a=3.729 b=9.083 c=10.231 alpha=99.03 beta=90.00 gamma=101.85
Fractional positions:
Ac (0.837, 0.674, 0.415)
Ac (0.163, 0.326, 0.585)
Pr (0.830, 0.661, 0.777)
Pr (0.170, 0.339, 0.223)
Pr (0.512, 0.023, 0.322)
Pr (0.488, 0.977, 0.678)
Nd (0.000, 0.000, 0.000)
Y (0.334, 0.668, 0.079)
Y (0.666, 0.332, 0.921)

## Properties
crystal system: monoclinic
calculated density: 6645 kg/m³
E_form: 19 meV per atom

=====

# 13
Crystalline AcPrNdY2 at its relaxed geometry, computed with PBE.

Unit cell a=5.951 b=6.488 c=9.918 alpha=71.26 beta=90.00 gamma=90.00
Fractional positions:
Ac (0.750, 0.568, 0.198)
Ac (0.250, 0.432, 0.802)
Pr (0.750, 0.364, 0.597)
Pr (0.250, 0.636, 0.403)
Nd (0.250, 0.835, 0.998)
Nd (0.750, 0.165, 0.002)
Y (0.750, 0.779, 0.793)
Y (0.250, 0.221, 0.207)
Y (0.250, 0.034, 0.596)
Y (0.750, 0.966, 0.404)

## Properties
crystal system: monoclinic
calculated density: 6319 kg/m³
E_form: 35 meV per atom

=====

# 14
Crystalline AcPrNd3Y at its relaxed geometry, computed with PBE.

Unit cell a=5.273 b=8.327 c=11.132 alpha=116.42 beta=90.00 gamma=90.00
Fractional positions:
Ac (0.250, 0.124, 0.293)
Ac (0.750, 0.876, 0.707)
Pr (0.250, 0.621, 0.125)
Pr (0.750, 0.379, 0.875)
Nd (0.750, 0.870, 0.040)
Nd (0.250, 0.130, 0.960)
Nd (0.250, 0.625, 0.455)
Nd (0.750, 0.375, 0.545)
Nd (0.750, 0.378, 0.208)
Nd (0.250, 0.622, 0.792)
Y (0.250, 0.128, 0.626)
Y (0.750, 0.872, 0.374)

## Properties
crystal system: monoclinic
calculated density: 6749 kg/m³
E_form: 29 meV per atom

=====

# 15
Crystalline AcPr2NdY5 at its relaxed geometry, computed with PBE.

Unit cell a=8.892 b=8.892 c=10.154 alpha=115.97 beta=115.97 gamma=90.00
Fractional positions:
Ac (0.250, 0.750, 0.500)
Ac (0.750, 0.250, 0.500)
Pr (0.116, 0.384, 0.000)
Pr (0.616, 0.116, 0.000)
Pr (0.384, 0.884, 0.000)
Pr (0.884, 0.616, 0.000)
Nd (0.250, 0.250, 0.500)
Nd (0.750, 0.750, 0.500)
Y (0.921, 0.421, 0.267)
Y (0.654, 0.154, 0.733)
Y (0.079, 0.579, 0.733)
Y (0.154, 0.079, 0.733)
Y (0.579, 0.654, 0.733)
Y (0.846, 0.921, 0.267)
Y (0.421, 0.346, 0.267)
Y (0.346, 0.846, 0.267)
Y (0.500, 0.500, 0.000)
Y (0.000, 0.000, 0.000)

## Properties
crystal system: tetragonal
calculated density: 5782 kg/m³
E_form: 246 meV per atom

=====

# 16
Crystalline AcPr5NdY2 at its relaxed geometry, computed with PBE.

Unit cell a=5.684 b=12.631 c=9.603 alpha=90.00 beta=90.00 gamma=103.00
Fractional positions:
Ac (0.603, 0.205, 0.928)
Ac (0.397, 0.795, 0.428)
Pr (0.396, 0.792, 0.032)
Pr (0.740, 0.481, 0.860)
Pr (0.476, 0.952, 0.752)
Pr (0.310, 0.621, 0.727)
Pr (0.007, 0.015, 0.532)
Pr (0.604, 0.208, 0.532)
Pr (0.260, 0.519, 0.360)
Pr (0.524, 0.048, 0.252)
Pr (0.690, 0.379, 0.227)
Pr (0.993, 0.985, 0.032)
Nd (0.764, 0.529, 0.535)
Nd (0.236, 0.471, 0.035)
Y (0.888, 0.776, 0.785)
Y (0.171, 0.342, 0.673)
Y (0.112, 0.224, 0.285)
Y (0.829, 0.658, 0.173)

## Properties
crystal system: orthorhombic
calculated density: 6197 kg/m³
E_form: 135 meV per atom

=====

# 17
Crystalline Ac5Pr2NdY at its relaxed geometry, computed with PBE.

Unit cell a=5.892 b=11.733 c=11.134 alpha=90.00 beta=90.00 gamma=104.54
Fractional positions:
Ac (0.370, 0.740, 0.008)
Ac (0.719, 0.438, 0.822)
Ac (0.500, 0.000, 0.758)
Ac (0.281, 0.563, 0.694)
Ac (0.997, 0.994, 0.508)
Ac (0.630, 0.260, 0.508)
Ac (0.281, 0.562, 0.322)
Ac (0.500, 0.000, 0.258)
Ac (0.719, 0.437, 0.194)
Ac (0.003, 0.006, 0.008)
Pr (0.887, 0.773, 0.768)
Pr (0.113, 0.227, 0.749)
Pr (0.113, 0.227, 0.268)
Pr (0.887, 0.773, 0.249)
Nd (0.804, 0.608, 0.508)
Nd (0.196, 0.392, 0.008)
Y (0.599, 0.197, 0.008)
Y (0.401, 0.803, 0.508)

## Properties
crystal system: orthorhombic
calculated density: 7354 kg/m³
E_form: 127 meV per atom

=====

# 18
Crystalline AcPrNdY at its relaxed geometry, computed with PBE.

Unit cell a=5.946 b=5.946 c=5.946 alpha=60.00 beta=60.00 gamma=60.00
Fractional positions:
Pr (0.500, 0.500, 0.500)
Y (0.750, 0.750, 0.750)
Ac (0.000, 0.000, 0.000)
Nd (0.250, 0.250, 0.250)

## Properties
crystal system: cubic
calculated density: 6715 kg/m³
E_form: 116 meV per atom
energy above the lowest structure with this stoichiometry: 0.0760 eV per atom

=====

# 19
Crystalline Ac2PrNd3Y6 at its relaxed geometry, computed with PBE.

Unit cell a=6.409 b=6.409 c=12.003 alpha=95.10 beta=95.10 gamma=119.99
Fractional positions:
Ac (0.333, 0.667, 0.000)
Ac (0.667, 0.333, 0.000)
Pr (0.000, 0.000, 0.000)
Nd (0.167, 0.833, 0.500)
Nd (0.833, 0.167, 0.500)
Nd (0.500, 0.500, 0.500)
Y (0.915, 0.584, 0.745)
Y (0.753, 0.753, 0.255)
Y (0.085, 0.416, 0.255)
Y (0.584, 0.915, 0.745)
Y (0.247, 0.247, 0.745)
Y (0.416, 0.085, 0.255)

## Properties
crystal system: monoclinic
calculated density: 6169 kg/m³
E_form: 24 meV per atom